# 1
Entry from the Open Quantum Materials Database: a relaxed structure of LaNdIO (GGA-PBE).

Lattice parameters (Å, degrees): 3.8077 3.8077 15.2327 90.00 90.00 120.00
Fractional coordinates of all 8 atoms:
Nd: 0.0000 0.0000 0.3398
O: 0.3333 0.6667 0.2538
I: 0.0000 0.0000 0.0000
O: 0.3333 0.6667 0.7462
La: 0.6667 0.3333 0.1655
La: 0.6667 0.3333 0.8345
I: 0.6667 0.3333 0.5000
Nd: 0.0000 0.0000 0.6602

Energy (eV for the cell shown): -46.814
Space group: P-6m2 (187)

# 2
Entry from the Open Quantum Materials Database: a relaxed structure of La3NdP2I2 (GGA-PBE).

Lattice parameters (Å, degrees): 4.2571 4.2571 15.6337 90.00 90.00 120.00
Fractional coordinates of all 8 atoms:
I: 0.0000 0.0000 0.2488
La: 0.6667 0.3333 0.4021
La: 0.6667 0.3333 0.0948
P: 0.3333 0.6667 0.5008
Nd: 0.0000 0.0000 0.9034
I: 0.6667 0.3333 0.7544
P: 0.3333 0.6667 0.9964
La: 0.0000 0.0000 0.5992

Energy (eV for the cell shown): -45.127
Space group: P3m1 (156)

# 3
Entry from the Open Quantum Materials Database: a relaxed structure of LaNdPI2 (GGA-PBE).

Lattice parameters (Å, degrees): 4.2890 4.2890 11.3040 90.00 90.00 120.00
Fractional coordinates of all 5 atoms:
I: 0.3333 0.6667 0.3306
P: 0.6667 0.3333 0.9964
Nd: 0.3333 0.6667 0.8590
I: 0.0000 0.0000 0.6739
La: 0.0000 0.0000 0.1400

Energy (eV for the cell shown): -26.039
Space group: P3m1 (156)

# 4
Entry from the Open Quantum Materials Database: a relaxed structure of LaNdPI (GGA-PBE).

Lattice parameters (Å, degrees): 8.1281 8.1281 8.1281 30.46 30.46 30.46
Fractional coordinates of all 4 atoms:
I: 0.9984 0.9984 0.9984
P: 0.5017 0.5017 0.5017
Nd: 0.2299 0.2299 0.2299
La: 0.7700 0.7700 0.7700

Energy (eV for the cell shown): -22.320
Space group: R3m (160)

# 5
Entry from the Open Quantum Materials Database: a relaxed structure of LaNdPI (GGA-PBE).

Lattice parameters (Å, degrees): 4.2352 4.2352 15.5631 90.00 90.00 120.00
Fractional coordinates of all 8 atoms:
La: 0.6667 0.3333 0.1552
Nd: 0.0000 0.0000 0.3489
P: 0.3333 0.6667 0.2549
P: 0.3333 0.6667 0.7451
I: 0.0000 0.0000 0.0000
Nd: 0.0000 0.0000 0.6511
La: 0.6667 0.3333 0.8448
I: 0.6667 0.3333 0.5000

Energy (eV for the cell shown): -44.810
Space group: P-6m2 (187)

# 6
Entry from the Open Quantum Materials Database: a relaxed structure of LaNdPI (GGA-PBE).

Lattice parameters (Å, degrees): 4.2385 4.2385 15.5363 90.00 90.00 120.00
Fractional coordinates of all 8 atoms:
La: 0.6667 0.3333 0.4003
P: 0.0000 0.0000 0.0000
Nd: 0.6667 0.3333 0.0939
La: 0.3333 0.6667 0.5997
I: 0.6667 0.3333 0.7560
I: 0.3333 0.6667 0.2440
Nd: 0.3333 0.6667 0.9061
P: 0.0000 0.0000 0.5000

Energy (eV for the cell shown): -44.800
Space group: P-3m1 (164)

# 7
Entry from the Open Quantum Materials Database: a relaxed structure of La2SiNiI2 (GGA-PBE).

Lattice parameters (Å, degrees): 4.2618 4.2618 12.2323 90.00 90.00 120.00
Fractional coordinates of all 6 atoms:
La: 0.6667 0.3333 0.8461
Si: 0.3333 0.6667 0.0038
I: 0.3333 0.6667 0.6645
Ni: 0.0000 0.0000 0.9962
La: 0.6667 0.3333 0.1552
I: 0.0000 0.0000 0.3342

Energy (eV for the cell shown): -30.940
Space group: P3m1 (156)

# 8
Entry from the Open Quantum Materials Database: a relaxed structure of LaSmI2O2 (GGA-PBE).

Lattice parameters (Å, degrees): 4.0852 4.0852 9.2324 90.00 90.00 90.00
Fractional coordinates of all 6 atoms:
I: 0.0000 0.0000 0.3298
Sm: 0.5000 0.5000 0.1240
I: 0.5000 0.5000 0.6683
O: 0.5000 0.0000 0.0032
La: 0.0000 0.0000 0.8715
O: 0.0000 0.5000 0.0032

Energy (eV for the cell shown): -39.078
Space group: P4mm (99)